# UMn2PbO6

UMn2PbO6 after structural relaxation (GGA+U, Alexandria).

Summary:
Space group: P4mm, No. 99
Crystal system: tetragonal
M_tot (μB per formula unit): 9.30
Energy (eV per atom): -7.64
Theoretical density (kg/m3): 6284

a = 6.2766 Å, b = 6.2766 Å, c = 4.3673 Å
α = 90.00°, β = 90.00°, γ = 90.00°
Last column: nearest neighbours and their distance in Å.
Positions (direct):
U 0.0000 0.0000 0.0000  6 O 2.11-2.24
Mn 0.0000 0.5000 0.1687  4 O 2.29
Mn 0.5000 0.0000 0.1687  4 O 2.29
Pb 0.5000 0.5000 0.9117  2 O 2.13-2.24
O 0.0000 0.0000 0.5139  2 U 2.12-2.24
O 0.2367 0.2367 0.0457  1 U 2.11, 2 Mn 2.29
O 0.2367 0.7633 0.0457  1 U 2.11, 2 Mn 2.29
O 0.5000 0.5000 0.4238  2 Pb 2.13-2.24
O 0.7633 0.2367 0.0457  1 U 2.11, 2 Mn 2.29
O 0.7633 0.7633 0.0457  1 U 2.11, 2 Mn 2.29